Entry from Alexandria via LeMat-Bulk: an optimized crystal structure of NdCdBi (PBE-GGA).

Unit cell a=9.0856 b=9.0856 c=9.0856 alpha=32.36 beta=32.36 gamma=32.36
With the nearest neighbours (Å) after each atom.
Element x y z (fractional)
Nd 0.0730 0.0730 0.0730  4 Bi 3.26-3.39, 6 Cd 3.46-3.50
Nd 0.9270 0.9270 0.9270  4 Bi 3.26-3.39, 6 Cd 3.46-3.50
Cd 0.3345 0.3345 0.3345  3 Cd 2.92
Cd 0.6655 0.6655 0.6655  3 Cd 2.92
Bi 0.2045 0.2045 0.2045  4 Nd 3.26-3.39, 1 Cd 3.36, 3 Bi 3.52
Bi 0.7955 0.7955 0.7955  4 Nd 3.26-3.39, 1 Cd 3.36, 3 Bi 3.52

## Properties
final energy = -21.08 eV per cell
SG = R-3m
energy of formation = -31 kJ/mol of atoms
energy above the most stable polymorph in this dataset = 122.3 meV/atom

---

Entry from Alexandria via LeMat-Bulk: an optimized crystal structure of La2Np2S7 (PBE-GGA).

Unit cell a=8.5711 b=8.5711 c=8.5711 alpha=152.62 beta=67.95 gamma=119.17
With the nearest neighbours (Å) after each atom.
Element x y z (fractional)
La 0.2407 0.0000 0.2407  5 S 2.79-3.01
La 0.7593 0.0000 0.7593  5 S 2.79-3.01
Np 0.2541 0.2541 0.0000  7 S 2.74-2.81
Np 0.7108 0.2108 0.5000  8 S 2.68-2.96
S 0.0793 0.7054 0.3739  2 Np 2.74
S 0.3316 0.7054 0.6261  2 Np 2.74
S 0.4266 0.5302 0.8964  3 Np 2.81-2.96, 1 S 2.94, 2 La 3.01
S 0.6221 0.3021 0.3200  1 Np 2.68, 3 La 2.79-2.85
S 0.6338 0.5302 0.1036  3 Np 2.81-2.96, 1 S 2.94, 2 La 3.01
S 0.9311 0.9311 0.0000  3 Np 2.79-2.80
S 0.9821 0.3021 0.6800  1 Np 2.68, 3 La 2.79-2.85

## Properties
formation energy from raw total energies = -1.67 eV/atom
final energy = -83.04 eV per cell
SG = Imm2